No. 1
Density functional theory data (GGA-PBE) for SrHoCo after structural relaxation.

Properties
distance to the lowest polymorph of the same formula = 0.00 eV/f.u.

Lattice parameters (Å, degrees): 4.835 4.835 4.835 60.00 60.00 60.00
Fractional positions:
Sr: 0.000 0.000 0.000
Ho: 0.500 0.500 0.500
Co: 0.750 0.750 0.750

No. 2
Density functional theory data (GGA-PBE) for La2PdAu after structural relaxation.

Properties
energy of formation = -830.1 meV per atom

Lattice parameters (Å, degrees): 4.761 6.003 6.003 38.95 90.00 90.00
Fractional positions:
La: 0.000 0.000 0.000
La: 0.500 0.272 0.272
Pd: 0.000 0.725 0.725
Au: 0.500 0.550 0.550

No. 3
Density functional theory data (GGA-PBE) for NiBr2 after structural relaxation.

Properties
E = -1.6078 eV per atom

Lattice parameters (Å, degrees): 6.098 6.098 6.098 60.00 60.00 60.00
Fractional positions:
Ni: 0.125 0.125 0.125
Ni: 0.875 0.875 0.875
Br: 0.000 0.500 0.500
Br: 0.500 0.000 0.500
Br: 0.500 0.500 0.000
Br: 0.500 0.500 0.500

No. 4
Density functional theory data (GGA-PBE) for YScAlCo2 after structural relaxation.

Properties
E = -6.5621 eV per atom

Lattice parameters (Å, degrees): 5.196 5.196 5.196 135.01 118.32 79.54
Fractional positions:
Y: 0.000 0.000 0.000
Sc: 0.411 0.411 0.000
Al: 0.702 0.202 0.500
Co: 0.430 0.706 0.724
Co: 0.982 0.706 0.276